This record from Alexandria via LeMat-Bulk describes crystalline GaHO at its relaxed geometry. The functional is GGA-PBE.

E above lowest polymorph   0.0 meV/atom
VASP energy   -4.70 eV/atom
Fermi-level density of states   0.000 states/eV/atom
Magnetic moment   0.00 μB/f.u.

The structure in POSCAR format:
```
GaHO
1.0
3.1041 0.0000 0.0000
-1.5520 2.6882 0.0000
0.0000 0.0000 5.0471
Ga H O
1 1 1
Direct
0.0000 0.0000 0.0000
0.0000 0.0000 0.3078
0.6667 0.3333 0.8610
```